This record from Alexandria via LeMat-Bulk describes a relaxed structure of CuBC. The functional is GGA-PBE.

- Theoretical density: 5.7 g/cm3
- Final energy: -38.13 eV for the cell shown
- Energy of formation from the pure elements: 0.311 eV/atom

Lattice parameters (Å, degrees): 2.7341 2.7341 7.8337 90.00 90.00 120.00
Space group P6_3/mmc (No. 194)
Inequivalent atoms, fractional coordinates:
Cu1 0.0000 0.0000 0.0000
B1 0.3333 0.6667 0.2500
C1 0.3333 0.6667 0.7500